The following is a PBE calculation of UGaCuOs after structural relaxation, from the Alexandria database.

Calculated values
E_form = 81 meV per atom
uncorrected energy = -117.3 eV/cell
magnetization = 1.1 μB per formula unit
calculated volume = 68.50 Å³/f.u.

Structure (CIF):
```
data_UGaCuOs
_chemical_formula_sum 'U4 Ga4 Cu4 Os4'
_cell_length_a 6.495
_cell_length_b 6.495
_cell_length_c 6.495
_cell_angle_alpha 90.00
_cell_angle_beta 90.00
_cell_angle_gamma 90.00
_space_group_name_H-M_alt 'F -4 3 m'
_space_group_IT_number 216
_space_group_name_Hall 'F -4 2 3'
loop_
_atom_site_label
_atom_site_fract_x
_atom_site_fract_y
_atom_site_fract_z
U1 0.000 0.000 0.000
Ga1 0.000 0.000 0.500
Cu1 0.250 0.250 0.750
Os1 0.250 0.250 0.250
```

The following is a PBE calculation of VGaCuOs after structural relaxation, from the Alexandria database.

Calculated values
E_form = -67 meV per atom
uncorrected energy = -111.0 eV/cell
magnetization = 0.0 μB per formula unit
calculated volume = 54.53 Å³/f.u.

Structure (CIF):
```
data_VGaCuOs
_chemical_formula_sum 'V4 Ga4 Cu4 Os4'
_cell_length_a 6.019
_cell_length_b 6.019
_cell_length_c 6.019
_cell_angle_alpha 90.00
_cell_angle_beta 90.00
_cell_angle_gamma 90.00
_space_group_name_H-M_alt 'F -4 3 m'
_space_group_IT_number 216
_space_group_name_Hall 'F -4 2 3'
loop_
_atom_site_label
_atom_site_fract_x
_atom_site_fract_y
_atom_site_fract_z
V1 0.000 0.000 0.000
Ga1 0.000 0.000 0.500
Cu1 0.250 0.250 0.750
Os1 0.250 0.250 0.250
```

The following is a PBE calculation of Zr2GaCuOs after structural relaxation, from the Alexandria database.

Calculated values
E_form = 854 meV per atom
uncorrected energy = -31.2 eV/cell
magnetization = 0.6 μB per formula unit
calculated volume = 102.80 Å³/f.u.

Structure (CIF):
```
data_Zr2GaCuOs
_chemical_formula_sum 'Zr2 Ga1 Cu1 Os1'
_cell_length_a 4.965
_cell_length_b 4.965
_cell_length_c 4.171
_cell_angle_alpha 90.00
_cell_angle_beta 90.00
_cell_angle_gamma 90.00
_space_group_name_H-M_alt 'P 4/m m m'
_space_group_IT_number 123
_space_group_name_Hall '-P 4 2'
loop_
_atom_site_label
_atom_site_fract_x
_atom_site_fract_y
_atom_site_fract_z
Zr1 0.000 0.500 0.000
Ga1 0.000 0.000 0.000
Cu1 0.000 0.000 0.500
Os1 0.500 0.500 0.500
```

The following is a PBE calculation of Ga2Cu2P after structural relaxation, from the Alexandria database.

Calculated values
E_form = 160 meV per atom
offset from the most stable computed form = 0 meV/atom
uncorrected energy = -37.7 eV/cell
magnetization = 0.0 μB per formula unit
calculated volume = 75.28 Å³/f.u.

Structure (CIF):
```
data_Ga2Cu2P
_chemical_formula_sum 'Ga4 Cu4 P2'
_cell_length_a 7.684
_cell_length_b 7.684
_cell_length_c 2.550
_cell_angle_alpha 90.00
_cell_angle_beta 90.00
_cell_angle_gamma 90.00
_space_group_name_H-M_alt 'P 4/m b m'
_space_group_IT_number 127
_space_group_name_Hall '-P 4 2ab'
loop_
_atom_site_label
_atom_site_fract_x
_atom_site_fract_y
_atom_site_fract_z
Ga1 0.186 0.314 0.000
Cu1 0.112 0.612 0.500
P1 0.000 0.000 0.000
```

The following is a PBE calculation of GaCu2P after structural relaxation, from the Alexandria database.

Calculated values
E_form = 191 meV per atom
offset from the most stable computed form = 125 meV/atom
uncorrected energy = -63.5 eV/cell
magnetization = 0.0 μB per formula unit
calculated volume = 56.77 Å³/f.u.

Structure (CIF):
```
data_GaCu2P
_chemical_formula_sum 'Ga4 Cu8 P4'
_cell_length_a 6.101
_cell_length_b 6.101
_cell_length_c 6.101
_cell_angle_alpha 90.00
_cell_angle_beta 90.00
_cell_angle_gamma 90.00
_space_group_name_H-M_alt 'F m -3 m'
_space_group_IT_number 225
_space_group_name_Hall '-F 4 2 3'
loop_
_atom_site_label
_atom_site_fract_x
_atom_site_fract_y
_atom_site_fract_z
Ga1 0.000 0.000 0.000
Cu1 0.250 0.250 0.250
P1 0.000 0.000 0.500
```

The following is a PBE calculation of GaCu3P after structural relaxation, from the Alexandria database.

Calculated values
E_form = 204 meV per atom
offset from the most stable computed form = 0 meV/atom
uncorrected energy = -19.7 eV/cell
magnetization = 0.0 μB per formula unit
calculated volume = 85.22 Å³/f.u.

Structure (CIF):
```
data_GaCu3P
_chemical_formula_sum 'Ga1 Cu3 P1'
_cell_length_a 4.401
_cell_length_b 4.401
_cell_length_c 4.401
_cell_angle_alpha 90.00
_cell_angle_beta 90.00
_cell_angle_gamma 90.00
_space_group_name_H-M_alt 'P m -3 m'
_space_group_IT_number 221
_space_group_name_Hall '-P 4 2 3'
loop_
_atom_site_label
_atom_site_fract_x
_atom_site_fract_y
_atom_site_fract_z
Ga1 0.000 0.000 0.000
Cu1 0.000 0.500 0.500
P1 0.500 0.500 0.500
```

The following is a PBE calculation of GaCu3P after structural relaxation, from the Alexandria database.

Calculated values
E_form = 873 meV per atom
offset from the most stable computed form = 670 meV/atom
uncorrected energy = -16.4 eV/cell
magnetization = 0.0 μB per formula unit
calculated volume = 88.79 Å³/f.u.

Structure (CIF):
```
data_GaCu3P
_chemical_formula_sum 'Ga1 Cu3 P1'
_cell_length_a 4.461
_cell_length_b 4.461
_cell_length_c 4.461
_cell_angle_alpha 90.00
_cell_angle_beta 90.00
_cell_angle_gamma 90.00
_space_group_name_H-M_alt 'P m -3 m'
_space_group_IT_number 221
_space_group_name_Hall '-P 4 2 3'
loop_
_atom_site_label
_atom_site_fract_x
_atom_site_fract_y
_atom_site_fract_z
Ga1 0.000 0.000 0.000
Cu1 0.000 0.000 0.500
P1 0.500 0.500 0.500
```

The following is a PBE calculation of Ga3CuP after structural relaxation, from the Alexandria database.

Calculated values
E_form = 360 meV per atom
offset from the most stable computed form = 0 meV/atom
uncorrected energy = -16.8 eV/cell
magnetization = 0.0 μB per formula unit
calculated volume = 99.75 Å³/f.u.

Structure (CIF):
```
data_Ga3CuP
_chemical_formula_sum 'Ga3 Cu1 P1'
_cell_length_a 4.638
_cell_length_b 4.638
_cell_length_c 4.638
_cell_angle_alpha 90.00
_cell_angle_beta 90.00
_cell_angle_gamma 90.00
_space_group_name_H-M_alt 'P m -3 m'
_space_group_IT_number 221
_space_group_name_Hall '-P 4 2 3'
loop_
_atom_site_label
_atom_site_fract_x
_atom_site_fract_y
_atom_site_fract_z
Ga1 0.000 0.000 0.500
Cu1 0.000 0.000 0.000
P1 0.500 0.500 0.500
```

The following is a PBE calculation of GaCu2P after structural relaxation, from the Alexandria database.

Calculated values
E_form = 67 meV per atom
offset from the most stable computed form = 0 meV/atom
uncorrected energy = -65.5 eV/cell
magnetization = 0.0 μB per formula unit
calculated volume = 61.23 Å³/f.u.

Structure (CIF):
```
data_GaCu2P
_chemical_formula_sum 'Ga4 Cu8 P4'
_cell_length_a 3.991
_cell_length_b 3.991
_cell_length_c 15.379
_cell_angle_alpha 90.00
_cell_angle_beta 90.00
_cell_angle_gamma 90.00
_space_group_name_H-M_alt 'I -4 2 d'
_space_group_IT_number 122
_space_group_name_Hall 'I -4 2bw'
loop_
_atom_site_label
_atom_site_fract_x
_atom_site_fract_y
_atom_site_fract_z
Ga1 0.000 0.000 0.000
Cu1 0.211 0.250 0.625
P1 0.000 0.000 0.500
```

The following is a PBE calculation of GaCuP3 after structural relaxation, from the Alexandria database.

Calculated values
E_form = 823 meV per atom
offset from the most stable computed form = 0 meV/atom
uncorrected energy = -19.2 eV/cell
magnetization = 0.0 μB per formula unit
calculated volume = 93.36 Å³/f.u.

Structure (CIF):
```
data_GaCuP3
_chemical_formula_sum 'Ga1 Cu1 P3'
_cell_length_a 4.537
_cell_length_b 4.537
_cell_length_c 4.537
_cell_angle_alpha 90.00
_cell_angle_beta 90.00
_cell_angle_gamma 90.00
_space_group_name_H-M_alt 'P m -3 m'
_space_group_IT_number 221
_space_group_name_Hall '-P 4 2 3'
loop_
_atom_site_label
_atom_site_fract_x
_atom_site_fract_y
_atom_site_fract_z
Ga1 0.000 0.000 0.000
Cu1 0.500 0.500 0.500
P1 0.000 0.500 0.500
```

The following is a PBE calculation of Ga3CuP after structural relaxation, from the Alexandria database.

Calculated values
E_form = 545 meV per atom
offset from the most stable computed form = 185 meV/atom
uncorrected energy = -15.9 eV/cell
magnetization = 0.0 μB per formula unit
calculated volume = 109.75 Å³/f.u.

Structure (CIF):
```
data_Ga3CuP
_chemical_formula_sum 'Ga3 Cu1 P1'
_cell_length_a 4.788
_cell_length_b 4.788
_cell_length_c 4.788
_cell_angle_alpha 90.00
_cell_angle_beta 90.00
_cell_angle_gamma 90.00
_space_group_name_H-M_alt 'P m -3 m'
_space_group_IT_number 221
_space_group_name_Hall '-P 4 2 3'
loop_
_atom_site_label
_atom_site_fract_x
_atom_site_fract_y
_atom_site_fract_z
Ga1 0.000 0.000 0.500
Cu1 0.500 0.500 0.500
P1 0.000 0.000 0.000
```

The following is a PBE calculation of GaCuP after structural relaxation, from the Alexandria database.

Calculated values
E_form = 19 meV per atom
uncorrected energy = -25.0 eV/cell
magnetization = 0.0 μB per formula unit
calculated volume = 50.67 Å³/f.u.

Structure (CIF):
```
data_GaCuP
_chemical_formula_sum 'Ga2 Cu2 P2'
_cell_length_a 3.725
_cell_length_b 5.473
_cell_length_c 5.824
_cell_angle_alpha 63.53
_cell_angle_beta 73.95
_cell_angle_gamma 89.10
_space_group_name_H-M_alt 'P -1'
_space_group_IT_number 2
loop_
_space_group_symop_operation_xyz
'x,y,z'
'-x,-y,-z'
loop_
_atom_site_label
_atom_site_fract_x
_atom_site_fract_y
_atom_site_fract_z
Ga1 0.213 0.115 0.172
Cu1 0.337 0.566 0.786
P1 0.345 0.191 0.671
```

The following is a PBE calculation of GaCuP2S after structural relaxation, from the Alexandria database.

Calculated values
offset from the most stable computed form = 0 meV/atom
uncorrected energy = -18.5 eV/cell
formation energy (no corrections) = 0.71 eV/atom
magnetization = 0.4 μB per formula unit
calculated volume = 96.23 Å³/f.u.

Structure (CIF):
```
data_GaCuP2S
_chemical_formula_sum 'Ga1 Cu1 P2 S1'
_cell_length_a 4.502
_cell_length_b 4.502
_cell_length_c 4.748
_cell_angle_alpha 90.00
_cell_angle_beta 90.00
_cell_angle_gamma 90.00
_space_group_name_H-M_alt 'P 4/m m m'
_space_group_IT_number 123
_space_group_name_Hall '-P 4 2'
loop_
_atom_site_label
_atom_site_fract_x
_atom_site_fract_y
_atom_site_fract_z
Ga1 0.000 0.000 0.000
Cu1 0.500 0.500 0.500
P1 0.000 0.500 0.500
S1 0.500 0.500 0.000
```

The following is a PBE calculation of GaCuP2Se after structural relaxation, from the Alexandria database.

Calculated values
uncorrected energy = -15.9 eV/cell
formation energy (no corrections) = 1.10 eV/atom
magnetization = 0.0 μB per formula unit
calculated volume = 115.49 Å³/f.u.

Structure (CIF):
```
data_GaCuP2Se
_chemical_formula_sum 'Ga1 Cu1 P2 Se1'
_cell_length_a 4.810
_cell_length_b 4.810
_cell_length_c 4.991
_cell_angle_alpha 90.00
_cell_angle_beta 90.00
_cell_angle_gamma 90.00
_space_group_name_H-M_alt 'P 4/m m m'
_space_group_IT_number 123
_space_group_name_Hall '-P 4 2'
loop_
_atom_site_label
_atom_site_fract_x
_atom_site_fract_y
_atom_site_fract_z
Ga1 0.000 0.000 0.000
Cu1 0.500 0.500 0.000
P1 0.000 0.500 0.500
Se1 0.000 0.000 0.500
```

The following is a PBE calculation of TiGa2CuP after structural relaxation, from the Alexandria database.

Calculated values
E_form = 499 meV per atom
uncorrected energy = -21.0 eV/cell
magnetization = 0.0 μB per formula unit
calculated volume = 93.45 Å³/f.u.

Structure (CIF):
```
data_TiGa2CuP
_chemical_formula_sum 'Ti1 Ga2 Cu1 P1'
_cell_length_a 4.591
_cell_length_b 4.591
_cell_length_c 4.433
_cell_angle_alpha 90.00
_cell_angle_beta 90.00
_cell_angle_gamma 90.00
_space_group_name_H-M_alt 'P 4/m m m'
_space_group_IT_number 123
_space_group_name_Hall '-P 4 2'
loop_
_atom_site_label
_atom_site_fract_x
_atom_site_fract_y
_atom_site_fract_z
Ti1 0.000 0.000 0.000
Ga1 0.000 0.500 0.500
Cu1 0.500 0.500 0.500
P1 0.500 0.500 0.000
```

The following is a PBE calculation of Pa3Ga6Cu2 after structural relaxation, from the Alexandria database.

Calculated values
E_form = -97 meV per atom
uncorrected energy = -111.8 eV/cell
magnetization = 0.0 μB per formula unit
calculated volume = 223.05 Å³/f.u.

Structure (CIF):
```
data_Pa3Ga6Cu2
_chemical_formula_sum 'Pa6 Ga12 Cu4'
_cell_length_a 3.974
_cell_length_b 3.974
_cell_length_c 28.248
_cell_angle_alpha 90.00
_cell_angle_beta 90.00
_cell_angle_gamma 90.00
_space_group_name_H-M_alt 'I 4/m m m'
_space_group_IT_number 139
_space_group_name_Hall '-I 4 2'
loop_
_atom_site_label
_atom_site_fract_x
_atom_site_fract_y
_atom_site_fract_z
Pa1 0.000 0.000 0.000
Pa2 0.000 0.000 0.170
Ga1 0.000 0.000 0.272
Ga2 0.000 0.500 0.082
Cu1 0.000 0.000 0.360
```

The following is a PBE calculation of PaGa3Cu4 after structural relaxation, from the Alexandria database.

Calculated values
E_form = -99 meV per atom
uncorrected energy = -35.8 eV/cell
magnetization = 0.0 μB per formula unit
calculated volume = 131.58 Å³/f.u.

Structure (CIF):
```
data_PaGa3Cu4
_chemical_formula_sum 'Pa1 Ga3 Cu4'
_cell_length_a 4.112
_cell_length_b 4.112
_cell_length_c 7.783
_cell_angle_alpha 90.00
_cell_angle_beta 90.00
_cell_angle_gamma 90.00
_space_group_name_H-M_alt 'P 4/m m m'
_space_group_IT_number 123
_space_group_name_Hall '-P 4 2'
loop_
_atom_site_label
_atom_site_fract_x
_atom_site_fract_y
_atom_site_fract_z
Pa1 0.000 0.000 0.000
Ga1 0.000 0.000 0.500
Ga2 0.500 0.500 0.156
Cu1 0.000 0.500 0.324
```

The following is a PBE calculation of Pa4Ga16Cu3 after structural relaxation, from the Alexandria database.

Calculated values
E_form = -292 meV per atom
uncorrected energy = -105.4 eV/cell
magnetization = 0.0 μB per formula unit
calculated volume = 425.09 Å³/f.u.

Structure (CIF):
```
data_Pa4Ga16Cu3
_chemical_formula_sum 'Pa4 Ga16 Cu3'
_cell_length_a 6.172
_cell_length_b 6.172
_cell_length_c 11.159
_cell_angle_alpha 90.00
_cell_angle_beta 90.00
_cell_angle_gamma 90.00
_space_group_name_H-M_alt 'P 4/m m m'
_space_group_IT_number 123
_space_group_name_Hall '-P 4 2'
loop_
_atom_site_label
_atom_site_fract_x
_atom_site_fract_y
_atom_site_fract_z
Pa1 0.000 0.500 0.190
Ga1 0.000 0.000 0.199
Ga2 0.217 0.217 0.000
Ga3 0.244 0.244 0.379
Ga4 0.500 0.500 0.227
Cu1 0.000 0.500 0.500
Cu2 0.500 0.500 0.000
```

The following is a PBE calculation of PaGa3Cu9 after structural relaxation, from the Alexandria database.

Calculated values
E_form = -78 meV per atom
uncorrected energy = -112.9 eV/cell
magnetization = 0.0 μB per formula unit
calculated volume = 183.23 Å³/f.u.

Structure (CIF):
```
data_PaGa3Cu9
_chemical_formula_sum 'Pa2 Ga6 Cu18'
_cell_length_a 4.946
_cell_length_b 12.053
_cell_length_c 6.623
_cell_angle_alpha 90.00
_cell_angle_beta 111.84
_cell_angle_gamma 90.00
_space_group_name_H-M_alt 'C 1 2/m 1'
_space_group_IT_number 12
loop_
_space_group_symop_operation_xyz
'x,y,z'
'-x,-y,-z'
'-x,y,-z'
'x,-y,z'
'x+1/2,y+1/2,z'
'-x+1/2,-y+1/2,-z'
'-x+1/2,y+1/2,-z'
'x+1/2,-y+1/2,z'
loop_
_atom_site_label
_atom_site_fract_x
_atom_site_fract_y
_atom_site_fract_z
Pa1 0.000 0.000 0.000
Ga1 0.000 0.000 0.500
Ga2 0.250 0.250 0.000
Cu1 0.000 0.500 0.500
Cu2 0.109 0.392 0.218
Cu3 0.184 0.176 0.354
```

The following is a PBE calculation of PaGa6Cu6 after structural relaxation, from the Alexandria database.

Calculated values
E_form = -206 meV per atom
uncorrected energy = -109.8 eV/cell
magnetization = 0.0 μB per formula unit
calculated volume = 194.34 Å³/f.u.

Structure (CIF):
```
data_PaGa6Cu6
_chemical_formula_sum 'Pa2 Ga12 Cu12'
_cell_length_a 5.117
_cell_length_b 8.587
_cell_length_c 8.845
_cell_angle_alpha 90.00
_cell_angle_beta 90.00
_cell_angle_gamma 90.00
_space_group_name_H-M_alt 'I m m m'
_space_group_IT_number 71
_space_group_name_Hall '-I 2 2'
loop_
_atom_site_label
_atom_site_fract_x
_atom_site_fract_y
_atom_site_fract_z
Pa1 0.000 0.000 0.000
Ga1 0.000 0.000 0.348
Ga2 0.000 0.349 0.000
Ga3 0.000 0.500 0.308
Cu1 0.000 0.267 0.500
Cu2 0.250 0.250 0.250
```